# 1
Entry from Alexandria via LeMat-Bulk: crystalline CeHo2Th3 at its relaxed geometry (PBE-GGA). Values from VASP.

Computed properties:
Calculated formation energy = 0.20 eV per atom
Spin magnetization = 0.46 μB/f.u.

```
&SYSTEM
  ibrav = 0, nat = 12, ntyp = 3
/
ATOMIC_SPECIES
Ce 140.12 Ce.upf
Ho 164.93 Ho.upf
Th 232.04 Th.upf
CELL_PARAMETERS angstrom
-4.027 -4.901 -2.200
1.037 -5.245 9.787
-4.560 5.144 -3.113
ATOMIC_POSITIONS angstrom
Ce -2.217 -7.733 5.922
Ho -1.602 -4.213 7.198
Th -1.324 0.826 0.583
Th -4.212 -3.377 4.991
Ho -4.094 -4.243 1.582
Ho -5.947 -0.788 -2.724
Th -2.199 -0.926 6.090
Th -1.495 -5.073 3.794
Ce -0.772 -2.412 1.665
Ho -3.455 -0.758 2.892
Th 0.519 -2.622 4.893
Th -3.337 -1.624 -0.517
```

# 2
Entry from Alexandria via LeMat-Bulk: crystalline Ce3HoTh12 at its relaxed geometry (PBE-GGA). Values from VASP.

Computed properties:
Calculated formation energy = 0.02 eV per atom
Spin magnetization = 0.00 μB/f.u.

```
&SYSTEM
  ibrav = 0, nat = 16, ntyp = 3
/
ATOMIC_SPECIES
Ho 164.93 Ho.upf
Ce 140.12 Ce.upf
Th 232.04 Th.upf
CELL_PARAMETERS angstrom
4.986 0.000 0.000
0.000 4.986 0.000
0.000 0.000 20.037
ATOMIC_POSITIONS angstrom
Ho 0.000 0.000 0.000
Ce 0.000 0.000 15.000
Ce 0.000 0.000 5.037
Th 2.493 0.000 12.500
Th 0.000 2.493 2.553
Th 2.493 2.493 0.000
Ce 0.000 0.000 10.018
Th 2.493 2.493 14.963
Th 2.493 2.493 10.018
Th 2.493 2.493 5.074
Th 2.493 0.000 7.536
Th 2.493 0.000 17.484
Th 0.000 2.493 17.484
Th 0.000 2.493 7.536
Th 0.000 2.493 12.500
Th 2.493 0.000 2.553
```

# 3
Entry from Alexandria via LeMat-Bulk: crystalline Ce2Ho3Th2 at its relaxed geometry (PBE-GGA). Values from VASP.

Computed properties:
Calculated formation energy = 0.06 eV per atom
Spin magnetization = 0.00 μB/f.u.

```
&SYSTEM
  ibrav = 0, nat = 7, ntyp = 3
/
ATOMIC_SPECIES
Ho 164.93 Ho.upf
Ce 140.12 Ce.upf
Th 232.04 Th.upf
CELL_PARAMETERS angstrom
-1.817 -2.913 0.450
4.368 -2.612 0.726
1.552 0.900 12.093
ATOMIC_POSITIONS angstrom
Ho 2.920 -2.184 10.970
Ce 0.998 -1.793 5.746
Th 1.737 0.255 8.662
Ho 1.183 -2.441 2.300
Ce 3.105 -2.832 7.524
Th 4.183 -1.966 4.158
Ho 0.000 0.000 0.000
```

# 4
Entry from Alexandria via LeMat-Bulk: crystalline CeHo2Th4 at its relaxed geometry (PBE-GGA). Values from VASP.

Computed properties:
Relative energy among the computed polymorphs = 0 meV per atom
Calculated formation energy = 0.08 eV per atom
Spin magnetization = 0.00 μB/f.u.

```
&SYSTEM
  ibrav = 0, nat = 7, ntyp = 3
/
ATOMIC_SPECIES
Th 232.04 Th.upf
Ho 164.93 Ho.upf
Ce 140.12 Ce.upf
CELL_PARAMETERS angstrom
-1.158 -3.339 0.112
3.221 -1.145 -0.838
4.768 0.795 17.240
ATOMIC_POSITIONS angstrom
Th 0.580 -1.911 4.841
Ho 3.351 -0.936 6.769
Th 4.647 -2.997 14.566
Th 3.030 -0.633 12.511
Th 2.184 -0.692 1.948
Ce -0.579 -1.670 0.056
Ho 3.479 -2.753 9.745
```

# 5
Entry from Alexandria via LeMat-Bulk: crystalline CeHoTh at its relaxed geometry (PBE-GGA). Values from VASP.

Computed properties:
Relative energy among the computed polymorphs = 0 meV per atom
Calculated formation energy = 0.05 eV per atom
Spin magnetization = 0.01 μB/f.u.

```
&SYSTEM
  ibrav = 0, nat = 3, ntyp = 3
/
ATOMIC_SPECIES
Th 232.04 Th.upf
Ce 140.12 Ce.upf
Ho 164.93 Ho.upf
CELL_PARAMETERS angstrom
3.515 0.000 0.000
-1.757 3.044 0.000
0.000 0.000 8.583
ATOMIC_POSITIONS angstrom
Th 1.757 1.015 2.904
Ce 0.000 2.029 5.667
Ho 0.000 0.000 0.012
```

# 6
Entry from Alexandria via LeMat-Bulk: crystalline CeHo8Th4 at its relaxed geometry (PBE-GGA). Values from VASP.

Computed properties:
Calculated formation energy = 0.20 eV per atom
Spin magnetization = 0.14 μB/f.u.

```
&SYSTEM
  ibrav = 0, nat = 13, ntyp = 3
/
ATOMIC_SPECIES
Th 232.04 Th.upf
Ho 164.93 Ho.upf
Ce 140.12 Ce.upf
CELL_PARAMETERS angstrom
-5.105 4.181 3.132
-1.541 -3.678 -6.119
1.230 -8.453 4.771
ATOMIC_POSITIONS angstrom
Th -2.553 2.090 1.566
Ho -3.631 -3.373 -1.417
Th 0.000 0.000 0.000
Ho -0.313 -3.342 0.135
Ho -5.103 -4.609 1.650
Ho -2.816 -6.482 0.246
Ho -1.164 -5.372 -3.243
Ho -4.252 -2.579 5.027
Th -3.323 0.251 -1.494
Ho -1.785 -4.578 3.201
Ho -2.600 -1.469 1.538
Ce -0.155 -6.066 -0.674
Th -0.771 -1.839 -3.060
```